The following is a DFT calculation (PBE) of crystalline Co6Ni at its relaxed geometry.

Values from the calculation:
V: 165.11 Å³ per cell
E_form: 0.32 eV/atom

Cell and atoms, written as CIF:
```
data_Co6Ni
_symmetry_space_group_name_H-M 'P 1'
_symmetry_Int_Tables_number 1
_cell_length_a 4.715
_cell_length_b 4.715
_cell_length_c 7.426
_cell_angle_alpha 90.00
_cell_angle_beta 90.00
_cell_angle_gamma 90.00
loop_
_symmetry_equiv_pos_as_xyz
'x,y,z'
loop_
_atom_site_label
_atom_site_fract_x
_atom_site_fract_y
_atom_site_fract_z
Co1 0.077 0.577 0.139
Co2 0.077 0.923 0.861
Co3 0.250 0.250 0.352
Co4 0.250 0.250 0.648
Co5 0.423 0.577 0.861
Co6 0.423 0.923 0.139
Co7 0.577 0.077 0.861
Co8 0.577 0.423 0.139
Co9 0.750 0.750 0.352
Co10 0.750 0.750 0.648
Co11 0.923 0.077 0.139
Co12 0.923 0.423 0.861
Ni1 0.250 0.750 0.500
Ni2 0.750 0.250 0.500
```

***

The following is a DFT calculation (PBE) of crystalline Co2Ni at its relaxed geometry.

Values from the calculation:
V: 160.30 Å³ per cell
E_form: 0.80 eV/atom

Cell and atoms, written as CIF:
```
data_Co2Ni
_symmetry_space_group_name_H-M 'P 1'
_symmetry_Int_Tables_number 1
_cell_length_a 5.432
_cell_length_b 5.432
_cell_length_c 5.432
_cell_angle_alpha 90.00
_cell_angle_beta 90.00
_cell_angle_gamma 90.00
loop_
_symmetry_equiv_pos_as_xyz
'x,y,z'
loop_
_atom_site_label
_atom_site_fract_x
_atom_site_fract_y
_atom_site_fract_z
Co1 0.116 0.116 0.116
Co2 0.116 0.384 0.616
Co3 0.384 0.616 0.116
Co4 0.384 0.884 0.616
Co5 0.616 0.116 0.384
Co6 0.616 0.384 0.884
Co7 0.884 0.616 0.384
Co8 0.884 0.884 0.884
Ni1 0.000 0.000 0.500
Ni2 0.000 0.500 0.000
Ni3 0.500 0.000 0.000
Ni4 0.500 0.500 0.500
```